{"formula": "YGaN2", "functional": "meta-GGA SCAN", "state": "single point on PBEsol structure", "cell": [[-2.728, 2.728, 3.491], [2.728, -2.728, 3.491], [2.728, 2.728, -3.491]], "species": ["Y", "Y", "Ga", "Ga", "N", "N", "N", "N"], "fractional_positions": [[0.000, 0.000, 0.000], [0.750, 0.250, 0.500], [0.250, 0.750, 0.500], [0.500, 0.500, 0.000], [0.173, 0.625, 0.048], [0.375, 0.423, 0.548], [0.577, 0.125, 0.952], [0.875, 0.827, 0.452]], "final_energy_ev_per_atom": -16.7789, "formation_energy_uncorrected_ev_per_atom": -1.086, "crystal_system": "tetragonal"}

---

{"formula": "NaGa4", "functional": "meta-GGA SCAN", "state": "single point on PBEsol structure", "cell": [[-2.087, 2.087, 5.570], [2.087, -2.087, 5.570], [2.087, 2.087, -5.570]], "species": ["Na", "Ga", "Ga", "Ga", "Ga"], "fractional_positions": [[0.000, 0.000, 0.000], [0.250, 0.750, 0.500], [0.390, 0.390, 0.000], [0.610, 0.610, 0.000], [0.750, 0.250, 0.500]], "final_energy_ev_per_atom": -14.1226, "formation_enthalpy_0k_ev_per_atom": -0.20, "crystal_system": "tetragonal"}

---

{"formula": "NaGa2Ni2", "functional": "meta-GGA SCAN", "state": "single point on PBEsol structure", "cell": [[7.252, 0.000, 0.000], [0.000, 7.252, 0.000], [0.000, 0.000, 2.609]], "species": ["Na", "Na", "Ga", "Ga", "Ga", "Ga", "Ni", "Ni", "Ni", "Ni"], "fractional_positions": [[0.000, 0.000, 0.000], [0.500, 0.500, 0.000], [0.142, 0.358, 0.000], [0.358, 0.858, 0.000], [0.642, 0.142, 0.000], [0.858, 0.642, 0.000], [0.152, 0.652, 0.500], [0.348, 0.152, 0.500], [0.652, 0.848, 0.500], [0.848, 0.348, 0.500]], "final_energy_ev_per_atom": -14.1155, "formation_enthalpy_0k_ev_per_atom": -0.26, "crystal_system": "tetragonal"}